Th3SbN4 after structural relaxation. Source: the Alexandria database, functional PBE-GGA.

Computed properties:
Total magnetization (μB per cell): 0.0
Space-group type: P4/mmm, No. 123
Raw formation energy (eV per atom): -1.19
Total energy (eV/atom): -8.654

```
data_Th3SbN4
_chemical_formula_sum 'Th3 Sb1 N4'
_cell_length_a 4.0187
_cell_length_b 4.0187
_cell_length_c 10.0665
_cell_angle_alpha 90.00
_cell_angle_beta 90.00
_cell_angle_gamma 90.00
_space_group_name_H-M_alt 'P 1'
_space_group_IT_number 1
loop_
_space_group_symop_operation_xyz
'x,y,z'
loop_
_atom_site_label
_atom_site_type_symbol
_atom_site_fract_x
_atom_site_fract_y
_atom_site_fract_z
_atom_site_occupancy
Sb1 Sb 0.0000 0.0000 0.5000 1
Th1 Th 0.0000 0.0000 0.0000 1
Th2 Th 0.5000 0.5000 0.2597 1
Th3 Th 0.5000 0.5000 0.7403 1
N1 N 0.0000 0.5000 0.1505 1
N2 N 0.0000 0.5000 0.8495 1
N3 N 0.5000 0.0000 0.8495 1
N4 N 0.5000 0.0000 0.1505 1
```



Th3SbN3 after structural relaxation. Source: the Alexandria database, functional PBE-GGA.

Computed properties:
Total magnetization (μB per cell): 0.0
Space-group type: R-3, No. 148
Offset from the most stable computed form (eV per atom): 0.000
Raw formation energy (eV per atom): -1.49
Total energy (eV/atom): -8.823

```
data_Th3SbN3
_chemical_formula_sum 'Th6 Sb2 N6'
_cell_length_a 7.0188
_cell_length_b 7.0188
_cell_length_c 8.6911
_cell_angle_alpha 66.18
_cell_angle_beta 66.18
_cell_angle_gamma 60.00
_space_group_name_H-M_alt 'P 1'
_space_group_IT_number 1
loop_
_space_group_symop_operation_xyz
'x,y,z'
loop_
_atom_site_label
_atom_site_type_symbol
_atom_site_fract_x
_atom_site_fract_y
_atom_site_fract_z
_atom_site_occupancy
Th1 Th 0.2425 0.5482 0.3102 1
Th2 Th 0.8992 0.2425 0.3102 1
Th3 Th 0.5482 0.8992 0.3102 1
Th4 Th 0.4518 0.1008 0.6898 1
Th5 Th 0.1008 0.7575 0.6898 1
Th6 Th 0.7575 0.4518 0.6898 1
Sb1 Sb 0.3335 0.3335 0.9995 1
Sb2 Sb 0.6665 0.6665 0.0005 1
N1 N 0.4458 0.8017 0.6191 1
N2 N 0.8017 0.1334 0.6191 1
N3 N 0.1334 0.4458 0.6191 1
N4 N 0.8666 0.5542 0.3809 1
N5 N 0.1983 0.8666 0.3809 1
N6 N 0.5542 0.1983 0.3809 1
```



Th2SbN after structural relaxation. Source: the Alexandria database, functional PBE-GGA.

Computed properties:
Total magnetization (μB per cell): 0.0
Space-group type: P-3m1, No. 164
Offset from the most stable computed form (eV per atom): 0.182
Raw formation energy (eV per atom): -1.00
Total energy (eV/atom): -7.825

```
data_Th2SbN
_chemical_formula_sum 'Th2 Sb1 N1'
_cell_length_a 3.9000
_cell_length_b 3.9001
_cell_length_c 7.2615
_cell_angle_alpha 90.00
_cell_angle_beta 90.00
_cell_angle_gamma 60.00
_space_group_name_H-M_alt 'P 1'
_space_group_IT_number 1
loop_
_space_group_symop_operation_xyz
'x,y,z'
loop_
_atom_site_label
_atom_site_type_symbol
_atom_site_fract_x
_atom_site_fract_y
_atom_site_fract_z
_atom_site_occupancy
Th1 Th 0.3402 0.7732 0.6098 1
Th2 Th 0.0069 0.4399 0.2298 1
Sb1 Sb 0.6736 0.1065 0.9198 1
N1 N 0.6735 0.1066 0.4198 1
```



ThSbN2 after structural relaxation. Source: the Alexandria database, functional PBE-GGA.

Computed properties:
Total magnetization (μB per cell): 0.0
Space-group type: R-3m, No. 166
Raw formation energy (eV per atom): -0.58
Total energy (eV/atom): -7.627

```
data_ThSbN2
_chemical_formula_sum 'Th1 Sb1 N2'
_cell_length_a 3.7554
_cell_length_b 3.7554
_cell_length_c 6.9730
_cell_angle_alpha 74.38
_cell_angle_beta 74.38
_cell_angle_gamma 60.00
_space_group_name_H-M_alt 'P 1'
_space_group_IT_number 1
loop_
_space_group_symop_operation_xyz
'x,y,z'
loop_
_atom_site_label
_atom_site_type_symbol
_atom_site_fract_x
_atom_site_fract_y
_atom_site_fract_z
_atom_site_occupancy
Sb1 Sb 0.0000 0.0000 0.0000 1
Th1 Th 0.5000 0.5000 0.5000 1
N1 N 0.1106 0.1106 0.6681 1
N2 N 0.8894 0.8894 0.3319 1
```